This record from the Alexandria database describes HoLuIn after structural relaxation. The functional is PBE.

a = 5.1741 Å, b = 5.1741 Å, c = 3.5903 Å
α = 90.00°, β = 90.00°, γ = 120.00°
Space group P3m1 (No. 156)
One atom of each set of equivalent atoms:
Ho  0.0000  0.0000  0.0000
Lu  0.6667  0.3333  0.4455
In  0.3333  0.6667  0.6675

Summary:
The formation energy comes out at -0.211 eV/atom. The energy comes out at -4.16 eV/atom. The crystal system is trigonal.